(1)
The following is a PBE calculation of a relaxed LaTbPr2Y2 crystal, from Alexandria via LeMat-Bulk.

Cell lengths 6.734, 17.988, 3.436 Å; angles 90.00, 90.00, 90.00 degrees
Atoms (fractional coordinates):
La1 0.000 0.000 0.000
La2 0.500 0.500 0.500
Tb1 0.000 0.500 0.000
Tb2 0.500 0.000 0.500
Pr1 0.224 0.349 0.500
Pr2 0.276 0.849 0.000
Pr3 0.724 0.151 0.000
Pr4 0.776 0.651 0.500
Y1 0.230 0.180 0.000
Y2 0.270 0.680 0.500
Y3 0.730 0.320 0.500
Y4 0.770 0.820 0.000

Values from the calculation:
Space group: Pnnm, No. 58
Crystal system: orthorhombic
M_tot in μB/cell: 0.0
Formation enthalpy at 0 K in meV/atom: 243
V in A^3/atom: 34.68

(2)
The following is a PBE calculation of a relaxed LaTbPr3Y crystal, from Alexandria via LeMat-Bulk.

Cell lengths 8.180, 5.218, 10.411 Å; angles 90.00, 108.59, 90.00 degrees
Atoms (fractional coordinates):
La1 0.171 0.250 0.293
La2 0.829 0.750 0.707
Tb1 0.500 0.250 0.625
Tb2 0.500 0.750 0.375
Pr1 0.169 0.250 0.792
Pr2 0.170 0.750 0.042
Pr3 0.171 0.750 0.543
Pr4 0.829 0.250 0.457
Pr5 0.830 0.250 0.958
Pr6 0.831 0.750 0.208
Y1 0.498 0.750 0.875
Y2 0.502 0.250 0.125

Values from the calculation:
Space group: P2_1/m, No. 11
Crystal system: monoclinic
M_tot in μB/cell: 0.0
Formation enthalpy at 0 K in meV/atom: 22
V in A^3/atom: 35.10

(3)
The following is a PBE calculation of a relaxed La2TbPr4Y2 crystal, from Alexandria via LeMat-Bulk.

Cell lengths 9.781, 9.781, 9.846 Å; angles 115.21, 115.21, 21.89 degrees
Atoms (fractional coordinates):
La1 0.166 0.166 0.000
La2 0.834 0.834 0.000
Tb1 0.500 0.500 0.000
Pr1 0.018 0.018 0.334
Pr2 0.314 0.314 0.667
Pr3 0.686 0.686 0.333
Pr4 0.982 0.982 0.666
Y1 0.352 0.352 0.333
Y2 0.648 0.648 0.667

Values from the calculation:
Space group: C2/m, No. 12
Crystal system: monoclinic
M_tot in μB/cell: 0.0
Formation enthalpy at 0 K in meV/atom: 6
V in A^3/atom: 35.15

(4)
The following is a PBE calculation of a relaxed La3Tb6PrY2 crystal, from Alexandria via LeMat-Bulk.

Cell lengths 6.278, 6.278, 11.980 Å; angles 95.01, 95.01, 120.02 degrees
Atoms (fractional coordinates):
La1 0.000 0.000 0.000
La2 0.333 0.667 0.000
La3 0.667 0.333 0.000
Tb1 0.084 0.418 0.253
Tb2 0.248 0.248 0.747
Tb3 0.418 0.084 0.253
Tb4 0.582 0.916 0.747
Tb5 0.752 0.752 0.253
Tb6 0.916 0.582 0.747
Pr1 0.500 0.500 0.500
Y1 0.167 0.833 0.500
Y2 0.833 0.167 0.500

Values from the calculation:
Space group: C2/m, No. 12
Crystal system: monoclinic
M_tot in μB/cell: 0.0
Formation enthalpy at 0 K in meV/atom: 18
V in A^3/atom: 33.54

(5)
The following is a PBE calculation of a relaxed La2Tb2Pr2Y crystal, from Alexandria via LeMat-Bulk.

Cell lengths 6.325, 6.325, 8.214 Å; angles 97.45, 97.45, 48.37 degrees
Atoms (fractional coordinates):
La1 0.142 0.142 0.427
La2 0.858 0.858 0.573
Tb1 0.429 0.429 0.285
Tb2 0.571 0.571 0.715
Pr1 0.285 0.285 0.859
Pr2 0.715 0.715 0.141
Y1 0.000 0.000 0.000

Values from the calculation:
Space group: C2/m, No. 12
Crystal system: monoclinic
M_tot in μB/cell: 0.0
Formation enthalpy at 0 K in meV/atom: 22
V in A^3/atom: 34.74

(6)
The following is a PBE calculation of a relaxed La5TbPr2Y crystal, from Alexandria via LeMat-Bulk.

Cell lengths 10.533, 10.533, 10.533 Å; angles 130.79, 130.79, 72.15 degrees
Atoms (fractional coordinates):
La1 0.000 0.000 0.000
La2 0.076 0.576 0.939
La3 0.137 0.076 0.500
La4 0.363 0.863 0.939
La5 0.424 0.363 0.500
La6 0.500 0.500 0.000
La7 0.576 0.637 0.500
La8 0.637 0.137 0.061
La9 0.863 0.924 0.500
La10 0.924 0.424 0.061
Tb1 0.250 0.250 0.000
Tb2 0.750 0.750 0.000
Pr1 0.122 0.378 0.500
Pr2 0.378 0.878 0.256
Pr3 0.622 0.122 0.744
Pr4 0.878 0.622 0.500
Y1 0.250 0.750 0.500
Y2 0.750 0.250 0.500

Values from the calculation:
Space group: I4/mcm, No. 140
Crystal system: tetragonal
M_tot in μB/cell: 0.0
Formation enthalpy at 0 K in meV/atom: 259
V in A^3/atom: 36.39

(7)
The following is a PBE calculation of a relaxed La2Tb2PrY crystal, from Alexandria via LeMat-Bulk.

Cell lengths 7.174, 5.770, 9.972 Å; angles 90.00, 90.00, 90.00 degrees
Atoms (fractional coordinates):
La1 0.000 0.000 0.000
La2 0.250 0.500 0.175
La3 0.500 0.000 0.000
La4 0.750 0.500 0.825
Tb1 0.250 0.000 0.333
Tb2 0.250 0.500 0.834
Tb3 0.750 0.000 0.667
Tb4 0.750 0.500 0.166
Pr1 0.250 0.000 0.660
Pr2 0.750 0.000 0.340
Y1 0.000 0.500 0.500
Y2 0.500 0.500 0.500

Values from the calculation:
Space group: Pmma, No. 51
Crystal system: orthorhombic
M_tot in μB/cell: 0.0
Formation enthalpy at 0 K in meV/atom: 56
V in A^3/atom: 34.39

(8)
The following is a PBE calculation of a relaxed La2TbPrY2 crystal, from Alexandria via LeMat-Bulk.

Cell lengths 6.769, 17.933, 3.434 Å; angles 90.00, 90.00, 90.00 degrees
Atoms (fractional coordinates):
La1 0.234 0.154 0.000
La2 0.266 0.654 0.500
La3 0.734 0.346 0.500
La4 0.766 0.846 0.000
Tb1 0.000 0.000 0.500
Tb2 0.500 0.500 0.000
Pr1 0.000 0.500 0.500
Pr2 0.500 0.000 0.000
Y1 0.243 0.326 0.500
Y2 0.257 0.826 0.000
Y3 0.743 0.174 0.000
Y4 0.757 0.674 0.500

Values from the calculation:
Space group: Pnnm, No. 58
Crystal system: orthorhombic
M_tot in μB/cell: 0.0
Formation enthalpy at 0 K in meV/atom: 247
V in A^3/atom: 34.73

(9)
The following is a PBE calculation of a relaxed La2TbPr6Y crystal, from Alexandria via LeMat-Bulk.

Cell lengths 9.001, 9.001, 10.192 Å; angles 95.33, 95.33, 118.18 degrees
Atoms (fractional coordinates):
La1 0.194 0.290 0.041
La2 0.290 0.194 0.541
La3 0.710 0.806 0.459
La4 0.806 0.710 0.959
Tb1 0.014 0.986 0.250
Tb2 0.986 0.014 0.750
Pr1 0.019 0.581 0.187
Pr2 0.121 0.745 0.555
Pr3 0.255 0.879 0.945
Pr4 0.295 0.498 0.378
Pr5 0.419 0.981 0.313
Pr6 0.498 0.295 0.878
Pr7 0.502 0.705 0.122
Pr8 0.581 0.019 0.687
Pr9 0.705 0.502 0.622
Pr10 0.745 0.121 0.055
Pr11 0.879 0.255 0.445
Pr12 0.981 0.419 0.813
Y1 0.404 0.596 0.750
Y2 0.596 0.404 0.250

Values from the calculation:
Space group: C2/c, No. 15
Crystal system: monoclinic
M_tot in μB/cell: 0.0
Formation enthalpy at 0 K in meV/atom: 106
V in A^3/atom: 35.79

(10)
The following is a PBE calculation of a relaxed LaTb3PrY crystal, from Alexandria via LeMat-Bulk.

Cell lengths 9.724, 3.652, 12.154 Å; angles 90.00, 110.34, 90.00 degrees
Atoms (fractional coordinates):
La1 0.182 0.250 0.344
La2 0.818 0.750 0.656
Tb1 0.070 0.250 0.906
Tb2 0.322 0.750 0.150
Tb3 0.435 0.750 0.601
Tb4 0.565 0.250 0.399
Tb5 0.678 0.250 0.850
Tb6 0.930 0.750 0.094
Pr1 0.131 0.250 0.628
Pr2 0.869 0.750 0.372
Y1 0.376 0.750 0.878
Y2 0.624 0.250 0.122

Values from the calculation:
Space group: P2_1/m, No. 11
Crystal system: monoclinic
M_tot in μB/cell: 0.0
Formation enthalpy at 0 K in meV/atom: 13
V in A^3/atom: 33.73

(11)
The following is a PBE calculation of a relaxed La6TbPr2Y crystal, from Alexandria via LeMat-Bulk.

Cell lengths 9.166, 9.166, 9.358 Å; angles 90.89, 90.89, 114.53 degrees
Atoms (fractional coordinates):
La1 0.038 0.477 0.681
La2 0.069 0.783 0.901
La3 0.217 0.931 0.599
La4 0.273 0.578 0.088
La5 0.422 0.727 0.412
La6 0.477 0.038 0.181
La7 0.523 0.962 0.819
La8 0.578 0.273 0.588
La9 0.727 0.422 0.912
La10 0.783 0.069 0.401
La11 0.931 0.217 0.099
La12 0.962 0.523 0.319
Tb1 0.436 0.564 0.750
Tb2 0.564 0.436 0.250
Pr1 0.207 0.296 0.438
Pr2 0.296 0.207 0.938
Pr3 0.704 0.793 0.062
Pr4 0.793 0.704 0.562
Y1 0.075 0.925 0.250
Y2 0.925 0.075 0.750

Values from the calculation:
Space group: C2/c, No. 15
Crystal system: monoclinic
M_tot in μB/cell: 0.0
Formation enthalpy at 0 K in meV/atom: 110
V in A^3/atom: 35.75

(12)
The following is a PBE calculation of a relaxed LaTb2Pr2Y2 crystal, from Alexandria via LeMat-Bulk.

Cell lengths 6.234, 6.234, 11.974 Å; angles 107.49, 107.49, 33.14 degrees
Atoms (fractional coordinates):
La1 0.000 0.000 0.000
Tb1 0.226 0.226 0.863
Tb2 0.774 0.774 0.137
Pr1 0.327 0.327 0.415
Pr2 0.673 0.673 0.585
Y1 0.451 0.451 0.726
Y2 0.549 0.549 0.274

Values from the calculation:
Space group: C2/m, No. 12
Crystal system: monoclinic
M_tot in μB/cell: 0.0
Formation enthalpy at 0 K in meV/atom: 88
V in A^3/atom: 34.52

(13)
The following is a PBE calculation of a relaxed La2TbPrY6 crystal, from Alexandria via LeMat-Bulk.

Cell lengths 8.801, 8.801, 10.014 Å; angles 95.67, 95.67, 117.31 degrees
Atoms (fractional coordinates):
La1 0.192 0.284 0.045
La2 0.284 0.192 0.545
La3 0.716 0.808 0.455
La4 0.808 0.716 0.955
Tb1 0.404 0.596 0.750
Tb2 0.596 0.404 0.250
Pr1 0.013 0.987 0.250
Pr2 0.987 0.013 0.750
Y1 0.020 0.577 0.187
Y2 0.116 0.733 0.557
Y3 0.267 0.884 0.943
Y4 0.303 0.513 0.383
Y5 0.423 0.980 0.313
Y6 0.487 0.697 0.117
Y7 0.513 0.303 0.883
Y8 0.577 0.020 0.687
Y9 0.697 0.487 0.617
Y10 0.733 0.116 0.057
Y11 0.884 0.267 0.443
Y12 0.980 0.423 0.813

Values from the calculation:
Space group: C2/c, No. 15
Crystal system: monoclinic
M_tot in μB/cell: 0.0
Formation enthalpy at 0 K in meV/atom: 113
V in A^3/atom: 33.83

(14)
The following is a PBE calculation of a relaxed La2Tb6PrY3 crystal, from Alexandria via LeMat-Bulk.

Cell lengths 6.256, 6.256, 11.947 Å; angles 95.00, 95.00, 120.01 degrees
Atoms (fractional coordinates):
La1 0.167 0.833 0.000
La2 0.833 0.167 0.000
Tb1 0.081 0.415 0.745
Tb2 0.252 0.252 0.255
Tb3 0.415 0.081 0.745
Tb4 0.585 0.919 0.255
Tb5 0.748 0.748 0.745
Tb6 0.919 0.585 0.255
Pr1 0.500 0.500 0.000
Y1 0.000 0.000 0.500
Y2 0.333 0.667 0.500
Y3 0.667 0.333 0.500

Values from the calculation:
Space group: C2/m, No. 12
Crystal system: monoclinic
M_tot in μB/cell: 0.0
Formation enthalpy at 0 K in meV/atom: 21
V in A^3/atom: 33.23

(15)
The following is a PBE calculation of a relaxed LaTb2Pr4Y2 crystal, from Alexandria via LeMat-Bulk.

Cell lengths 8.162, 8.162, 8.153 Å; angles 107.15, 107.15, 36.91 degrees
Atoms (fractional coordinates):
La1 0.000 0.000 0.000
Tb1 0.331 0.331 0.001
Tb2 0.669 0.669 0.999
Pr1 0.223 0.223 0.331
Pr2 0.445 0.445 0.668
Pr3 0.555 0.555 0.332
Pr4 0.777 0.777 0.669
Y1 0.111 0.111 0.667
Y2 0.889 0.889 0.333

Values from the calculation:
Space group: C2/m, No. 12
Crystal system: monoclinic
M_tot in μB/cell: 0.0
Formation enthalpy at 0 K in meV/atom: 17
V in A^3/atom: 34.45

(16)
The following is a PBE calculation of a relaxed LaTb3Pr2Y6 crystal, from Alexandria via LeMat-Bulk.

Cell lengths 6.259, 6.259, 11.895 Å; angles 95.02, 95.02, 119.98 degrees
Atoms (fractional coordinates):
La1 0.000 0.000 0.000
Tb1 0.167 0.833 0.500
Tb2 0.500 0.500 0.500
Tb3 0.833 0.167 0.500
Pr1 0.333 0.667 0.000
Pr2 0.667 0.333 0.000
Y1 0.085 0.419 0.254
Y2 0.249 0.249 0.746
Y3 0.419 0.085 0.254
Y4 0.581 0.915 0.746
Y5 0.751 0.751 0.254
Y6 0.915 0.581 0.746

Values from the calculation:
Space group: C2/m, No. 12
Crystal system: monoclinic
M_tot in μB/cell: 0.0
Formation enthalpy at 0 K in meV/atom: 17
V in A^3/atom: 33.12

(17)
The following is a PBE calculation of a relaxed LaTb3Pr6Y2 crystal, from Alexandria via LeMat-Bulk.

Cell lengths 6.350, 6.350, 12.045 Å; angles 95.04, 95.04, 120.01 degrees
Atoms (fractional coordinates):
La1 0.000 0.000 0.000
Tb1 0.167 0.833 0.500
Tb2 0.500 0.500 0.500
Tb3 0.833 0.167 0.500
Pr1 0.084 0.418 0.253
Pr2 0.249 0.249 0.747
Pr3 0.418 0.084 0.253
Pr4 0.582 0.916 0.747
Pr5 0.751 0.751 0.253
Pr6 0.916 0.582 0.747
Y1 0.334 0.666 0.000
Y2 0.666 0.334 0.000

Values from the calculation:
Space group: C2/m, No. 12
Crystal system: monoclinic
M_tot in μB/cell: 0.0
Formation enthalpy at 0 K in meV/atom: 14
V in A^3/atom: 34.50

(18)
The following is a PBE calculation of a relaxed LaTb2Pr5Y crystal, from Alexandria via LeMat-Bulk.

Cell lengths 9.839, 9.839, 9.839 Å; angles 122.32, 122.32, 86.03 degrees
Atoms (fractional coordinates):
La1 0.250 0.250 0.000
La2 0.750 0.750 0.000
Tb1 0.109 0.609 0.717
Tb2 0.391 0.109 0.500
Tb3 0.609 0.891 0.500
Tb4 0.891 0.391 0.283
Pr1 0.000 0.000 0.000
Pr2 0.072 0.166 0.500
Pr3 0.166 0.666 0.093
Pr4 0.334 0.428 0.500
Pr5 0.428 0.928 0.093
Pr6 0.500 0.500 0.000
Pr7 0.572 0.072 0.907
Pr8 0.666 0.572 0.500
Pr9 0.834 0.334 0.907
Pr10 0.928 0.834 0.500
Y1 0.250 0.750 0.500
Y2 0.750 0.250 0.500

Values from the calculation:
Space group: I4/mcm, No. 140
Crystal system: tetragonal
M_tot in μB/cell: 0.0
Formation enthalpy at 0 K in meV/atom: 276
V in A^3/atom: 36.01

(19)
The following is a PBE calculation of a relaxed La2Tb2PrY6 crystal, from Alexandria via LeMat-Bulk.

Cell lengths 8.760, 8.760, 8.120 Å; angles 90.00, 90.00, 142.31 degrees
Atoms (fractional coordinates):
La1 0.174 0.826 0.000
La2 0.826 0.174 0.000
Tb1 0.189 0.811 0.500
Tb2 0.811 0.189 0.500
Pr1 0.500 0.500 0.000
Y1 0.000 0.000 0.287
Y2 0.000 0.000 0.713
Y3 0.365 0.635 0.287
Y4 0.365 0.635 0.713
Y5 0.635 0.365 0.287
Y6 0.635 0.365 0.713

Values from the calculation:
Space group: Cmmm, No. 65
Crystal system: orthorhombic
M_tot in μB/cell: 0.0
Formation enthalpy at 0 K in meV/atom: 140
V in A^3/atom: 34.63

(20)
The following is a PBE calculation of a relaxed LaTbPrZr crystal, from Alexandria via LeMat-Bulk.

Cell lengths 5.589, 5.589, 5.589 Å; angles 60.00, 60.00, 60.00 degrees
Atoms (fractional coordinates):
La1 0.000 0.000 0.000
Tb1 0.250 0.250 0.250
Pr1 0.500 0.500 0.500
Zr1 0.750 0.750 0.750

Values from the calculation:
Space group: F-43m, No. 216
Crystal system: cubic
M_tot in μB/cell: 0.1
Formation enthalpy at 0 K in meV/atom: 208
V in A^3/atom: 30.86